Computed, not measured: a geometry-optimized Ba2NiCl2O2 structure at the PBE with a Hubbard U level of DFT.

Lattice parameters (Å, degrees): 4.251 4.251 16.121 90.00 90.00 90.00
Space group I4/mmm (No. 139)
One atom of each set of equivalent atoms:
Ba: 0.000 0.000 0.109 [4 per cell]
Ni: 0.000 0.000 0.500 [2 per cell]
Cl: 0.000 0.000 0.324 [4 per cell]
O: 0.000 0.500 0.000 [4 per cell]

Results
For the total moment, the calculation gives 2.0 μB/f.u. The total energy comes out at -4.957 eV/atom.